1.
# Ba2ScGe3Pt4, relaxed, DFT GGA-PBE
# * mass density: 10.00 g cm⁻³
# * total moment: 0.00 μB/atom
# * formation enthalpy at 0 K: -79.5 kJ per mole of atoms
# * crystal system: tetragonal
data_Ba2ScGe3Pt4
_chemical_formula_sum 'Ba2 Sc1 Ge3 Pt4'
_cell_length_a 4.4987
_cell_length_b 4.4987
_cell_length_c 10.8151
_cell_angle_alpha 90.00
_cell_angle_beta 90.00
_cell_angle_gamma 90.00
_space_group_name_H-M_alt 'P 1'
_space_group_IT_number 1
loop_
_space_group_symop_operation_xyz
'x,y,z'
loop_
_atom_site_label
_atom_site_type_symbol
_atom_site_fract_x
_atom_site_fract_y
_atom_site_fract_z
Ba1 Ba 0.5000 0.0000 0.2419
Ba2 Ba 0.0000 0.5000 0.7581
Sc1 Sc 0.5000 0.5000 0.5000
Ge1 Ge 0.0000 0.0000 0.5000
Ge2 Ge 0.5000 0.0000 0.8820
Ge3 Ge 0.0000 0.5000 0.1180
Pt1 Pt 0.5000 0.5000 0.0000
Pt2 Pt 0.0000 0.0000 0.0000
Pt3 Pt 0.5000 0.0000 0.6380
Pt4 Pt 0.0000 0.5000 0.3620


2.
# Zn2SiAg, relaxed, DFT GGA-PBE
# * mass density: 6.93 g cm⁻³
# * total moment: 0.00 μB/atom
# * crystal system: orthorhombic
# * E_form (uncorrected): 195 meV/atom
data_Zn2SiAg
_chemical_formula_sum 'Zn2 Si1 Ag1'
_cell_length_a 2.7792
_cell_length_b 2.7792
_cell_length_c 8.2939
_cell_angle_alpha 90.00
_cell_angle_beta 90.00
_cell_angle_gamma 94.37
_space_group_name_H-M_alt 'P 1'
_space_group_IT_number 1
loop_
_space_group_symop_operation_xyz
'x,y,z'
loop_
_atom_site_label
_atom_site_type_symbol
_atom_site_fract_x
_atom_site_fract_y
_atom_site_fract_z
Ag1 Ag 0.0000 0.0000 0.4928
Si1 Si 0.5000 0.5000 0.7583
Zn1 Zn 0.0000 0.0000 0.0073
Zn2 Zn 0.5000 0.5000 0.2417


3.
# Sb2IBrN, relaxed, DFT GGA-PBE
# * mass density: 4.36 g cm⁻³
# * relative energy among the computed polymorphs: 1354.7 meV per atom
# * total moment: 0.00 μB/atom
# * crystal system: tetragonal
# * E_form (uncorrected): 2115 meV/atom
data_Sb2IBrN
_chemical_formula_sum 'Sb2 I1 Br1 N1'
_cell_length_a 5.6151
_cell_length_b 5.6151
_cell_length_c 5.6147
_cell_angle_alpha 90.00
_cell_angle_beta 90.00
_cell_angle_gamma 90.00
_space_group_name_H-M_alt 'P 1'
_space_group_IT_number 1
loop_
_space_group_symop_operation_xyz
'x,y,z'
loop_
_atom_site_label
_atom_site_type_symbol
_atom_site_fract_x
_atom_site_fract_y
_atom_site_fract_z
I1 I 0.0000 0.0000 0.5000
Sb1 Sb 0.0000 0.5000 0.0000
Sb2 Sb 0.5000 0.0000 0.0000
Br1 Br 0.0000 0.0000 0.0000
N1 N 0.5000 0.5000 0.5000


4.
# Pr14TmIn, relaxed, DFT GGA-PBE
# * mass density: 6.75 g cm⁻³
# * total moment: 0.00 μB/atom
# * formation enthalpy at 0 K: -4.3 kJ per mole of atoms
# * crystal system: orthorhombic
data_Pr14TmIn
_chemical_formula_sum 'Pr14 Tm1 In1'
_cell_length_a 7.3032
_cell_length_b 7.3032
_cell_length_c 10.4055
_cell_angle_alpha 90.00
_cell_angle_beta 90.00
_cell_angle_gamma 89.99
_space_group_name_H-M_alt 'P 1'
_space_group_IT_number 1
loop_
_space_group_symop_operation_xyz
'x,y,z'
loop_
_atom_site_label
_atom_site_type_symbol
_atom_site_fract_x
_atom_site_fract_y
_atom_site_fract_z
Pr1 Pr 0.3754 0.6246 0.5000
Pr2 Pr 0.8749 0.1251 0.5000
Pr3 Pr 0.8747 0.6248 0.0000
Pr4 Pr 0.8755 0.6253 0.5000
Pr5 Pr 0.3752 0.1253 0.0000
Pr6 Pr 0.3747 0.1245 0.5000
Pr7 Pr 0.6269 0.8769 0.7562
Pr8 Pr 0.6269 0.8769 0.2438
Pr9 Pr 0.1231 0.3731 0.7562
Pr10 Pr 0.1231 0.3731 0.2438
Pr11 Pr 0.1230 0.8770 0.7563
Pr12 Pr 0.1230 0.8770 0.2437
Pr13 Pr 0.6271 0.3729 0.7560
Pr14 Pr 0.6271 0.3729 0.2440
Tm1 Tm 0.3749 0.6251 0.0000
In1 In 0.8746 0.1254 0.0000


5.
# B3OsO, relaxed, DFT GGA-PBE
# * mass density: 5.83 g cm⁻³
# * relative energy among the computed polymorphs: 146.5 meV per atom
# * total moment: 0.34 μB/atom
# * crystal system: cubic
# * E_form (uncorrected): 1371 meV/atom
data_B3OsO
_chemical_formula_sum 'B3 Os1 O1'
_cell_length_a 4.0810
_cell_length_b 4.0810
_cell_length_c 4.0810
_cell_angle_alpha 90.00
_cell_angle_beta 90.00
_cell_angle_gamma 90.00
_space_group_name_H-M_alt 'P 1'
_space_group_IT_number 1
loop_
_space_group_symop_operation_xyz
'x,y,z'
loop_
_atom_site_label
_atom_site_type_symbol
_atom_site_fract_x
_atom_site_fract_y
_atom_site_fract_z
B1 B 0.0000 0.5000 0.0000
B2 B 0.0000 0.0000 0.5000
B3 B 0.5000 0.0000 0.0000
Os1 Os 0.0000 0.0000 0.0000
O1 O 0.5000 0.5000 0.5000


6.
# KIn2Pd, relaxed, DFT GGA-PBE
# * mass density: 5.85 g cm⁻³
# * total moment: 0.00 μB/atom
# * formation enthalpy at 0 K: -27.1 kJ per mole of atoms
# * crystal system: orthorhombic
data_KIn2Pd
_chemical_formula_sum 'K8 In16 Pd8'
_cell_length_a 6.3355
_cell_length_b 7.9181
_cell_length_c 16.9906
_cell_angle_alpha 90.00
_cell_angle_beta 90.00
_cell_angle_gamma 90.00
_space_group_name_H-M_alt 'P 1'
_space_group_IT_number 1
loop_
_space_group_symop_operation_xyz
'x,y,z'
loop_
_atom_site_label
_atom_site_type_symbol
_atom_site_fract_x
_atom_site_fract_y
_atom_site_fract_z
K1 K 0.4732 0.2500 0.1304
K2 K 0.9732 0.7500 0.3696
K3 K 0.5268 0.7500 0.8696
K4 K 0.0268 0.2500 0.6304
K5 K 0.7930 0.2500 0.3980
K6 K 0.2930 0.7500 0.1020
K7 K 0.2070 0.7500 0.6020
K8 K 0.7070 0.2500 0.8980
In1 In 0.9785 0.0508 0.2125
In2 In 0.4785 0.9492 0.2875
In3 In 0.0215 0.5508 0.7875
In4 In 0.5215 0.4492 0.7125
In5 In 0.0215 0.9492 0.7875
In6 In 0.5215 0.0508 0.7125
In7 In 0.9785 0.4492 0.2125
In8 In 0.4785 0.5508 0.2875
In9 In 0.7969 0.5595 0.0468
In10 In 0.2969 0.4405 0.4532
In11 In 0.2031 0.0595 0.9532
In12 In 0.7031 0.9405 0.5468
In13 In 0.2031 0.4405 0.9532
In14 In 0.7031 0.5595 0.5468
In15 In 0.7969 0.9405 0.0468
In16 In 0.2969 0.0595 0.4532
Pd1 Pd 0.2478 0.2500 0.3089
Pd2 Pd 0.7478 0.7500 0.1911
Pd3 Pd 0.7522 0.7500 0.6911
Pd4 Pd 0.2522 0.2500 0.8089
Pd5 Pd 0.9902 0.2500 0.0730
Pd6 Pd 0.4902 0.7500 0.4270
Pd7 Pd 0.0098 0.7500 0.9270
Pd8 Pd 0.5098 0.2500 0.5730


7.
# CdGe, relaxed, DFT GGA-PBE
# * mass density: 3.83 g cm⁻³
# * total moment: 0.00 μB/atom
# * formation enthalpy at 0 K: 42.8 kJ per mole of atoms
# * crystal system: cubic
data_CdGe
_chemical_formula_sum 'Cd8 Ge8'
_cell_length_a 8.6236
_cell_length_b 8.6236
_cell_length_c 8.6236
_cell_angle_alpha 90.00
_cell_angle_beta 90.00
_cell_angle_gamma 90.00
_space_group_name_H-M_alt 'P 1'
_space_group_IT_number 1
loop_
_space_group_symop_operation_xyz
'x,y,z'
loop_
_atom_site_label
_atom_site_type_symbol
_atom_site_fract_x
_atom_site_fract_y
_atom_site_fract_z
Cd1 Cd 0.2966 0.2966 0.2966
Cd2 Cd 0.2966 0.7034 0.7034
Cd3 Cd 0.7034 0.2966 0.7034
Cd4 Cd 0.7034 0.7034 0.2966
Cd5 Cd 0.7966 0.7966 0.7966
Cd6 Cd 0.7966 0.2034 0.2034
Cd7 Cd 0.2034 0.7966 0.2034
Cd8 Cd 0.2034 0.2034 0.7966
Ge1 Ge 0.1122 0.1122 0.1122
Ge2 Ge 0.1122 0.8878 0.8878
Ge3 Ge 0.8878 0.1122 0.8878
Ge4 Ge 0.8878 0.8878 0.1122
Ge5 Ge 0.6122 0.6122 0.6122
Ge6 Ge 0.6122 0.3878 0.3878
Ge7 Ge 0.3878 0.6122 0.3878
Ge8 Ge 0.3878 0.3878 0.6122


8.
# CsAl2Pd2, relaxed, DFT GGA-PBE
# * mass density: 5.01 g cm⁻³
# * relative energy among the computed polymorphs: 0.0 meV per atom
# * total moment: 0.00 μB/atom
# * formation enthalpy at 0 K: -33.4 kJ per mole of atoms
# * crystal system: tetragonal
data_CsAl2Pd2
_chemical_formula_sum 'Cs1 Al2 Pd2'
_cell_length_a 4.2069
_cell_length_b 4.2069
_cell_length_c 8.0619
_cell_angle_alpha 74.88
_cell_angle_beta 74.88
_cell_angle_gamma 90.00
_space_group_name_H-M_alt 'P 1'
_space_group_IT_number 1
loop_
_space_group_symop_operation_xyz
'x,y,z'
loop_
_atom_site_label
_atom_site_type_symbol
_atom_site_fract_x
_atom_site_fract_y
_atom_site_fract_z
Cs1 Cs 0.0000 0.0000 0.0000
Al1 Al 0.7500 0.2500 0.5000
Al2 Al 0.2500 0.7500 0.5000
Pd1 Pd 0.3402 0.3402 0.3195
Pd2 Pd 0.6598 0.6598 0.6805


9.
# InReH5, relaxed, DFT GGA-PBE
# * raw total energy: -29.27 eV for the cell shown
# * mass density: 8.06 g cm⁻³
# * total moment: 0.07 μB/atom
# * crystal system: orthorhombic
data_InReH5
_chemical_formula_sum 'In1 Re1 H5'
_cell_length_a 3.7441
_cell_length_b 4.5103
_cell_length_c 4.5103
_cell_angle_alpha 79.98
_cell_angle_beta 65.48
_cell_angle_gamma 65.48
_space_group_name_H-M_alt 'P 1'
_space_group_IT_number 1
loop_
_space_group_symop_operation_xyz
'x,y,z'
loop_
_atom_site_label
_atom_site_type_symbol
_atom_site_fract_x
_atom_site_fract_y
_atom_site_fract_z
In1 In 0.7911 0.0000 0.0000
Re1 Re 0.5396 0.5000 0.5000
H1 H 0.9733 0.2288 0.2288
H2 H 0.0387 0.5000 0.5000
H3 H 0.4309 0.7712 0.7712
H4 H 0.3785 0.2277 0.7723
H5 H 0.3785 0.7723 0.2277


10.
# CuSb2WI, relaxed, DFT GGA-PBE
# * mass density: 6.61 g cm⁻³
# * relative energy among the computed polymorphs: 0.0 meV per atom
# * total moment: 0.05 μB/atom
# * crystal system: tetragonal
# * E_form (uncorrected): 1003 meV/atom
data_CuSb2WI
_chemical_formula_sum 'Cu1 Sb2 W1 I1'
_cell_length_a 5.1793
_cell_length_b 5.1793
_cell_length_c 5.7846
_cell_angle_alpha 90.00
_cell_angle_beta 90.00
_cell_angle_gamma 90.00
_space_group_name_H-M_alt 'P 1'
_space_group_IT_number 1
loop_
_space_group_symop_operation_xyz
'x,y,z'
loop_
_atom_site_label
_atom_site_type_symbol
_atom_site_fract_x
_atom_site_fract_y
_atom_site_fract_z
I1 I 0.0000 0.0000 0.5000
Sb1 Sb 0.0000 0.5000 0.0000
Sb2 Sb 0.5000 0.0000 0.0000
Cu1 Cu 0.5000 0.5000 0.5000
W1 W 0.0000 0.0000 0.0000


11.
# Pm2Nd4In, relaxed, DFT GGA-PBE
# * mass density: 6.93 g cm⁻³
# * relative energy among the computed polymorphs: 23.6 meV per atom
# * total moment: 0.00 μB/atom
# * formation enthalpy at 0 K: -3.6 kJ per mole of atoms
# * crystal system: monoclinic
data_Pm2Nd4In
_chemical_formula_sum 'Pm4 Nd8 In2'
_cell_length_a 11.0257
_cell_length_b 6.6230
_cell_length_c 9.2157
_cell_angle_alpha 135.68
_cell_angle_beta 90.00
_cell_angle_gamma 90.00
_space_group_name_H-M_alt 'P 1'
_space_group_IT_number 1
loop_
_space_group_symop_operation_xyz
'x,y,z'
loop_
_atom_site_label
_atom_site_type_symbol
_atom_site_fract_x
_atom_site_fract_y
_atom_site_fract_z
In1 In 0.0000 0.0000 0.0000
In2 In 0.5000 0.5000 0.0000
Nd1 Nd 0.7451 0.8582 0.1024
Nd2 Nd 0.8472 0.5519 0.5680
Nd3 Nd 0.6528 0.0519 0.5680
Nd4 Nd 0.7549 0.3582 0.1024
Nd5 Nd 0.2451 0.6418 0.8976
Nd6 Nd 0.3472 0.9481 0.4320
Nd7 Nd 0.1528 0.4481 0.4320
Nd8 Nd 0.2549 0.1418 0.8976
Pm1 Pm 0.0397 0.7714 0.2532
Pm2 Pm 0.9603 0.2286 0.7468
Pm3 Pm 0.5397 0.7286 0.7468
Pm4 Pm 0.4603 0.2714 0.2532